one:
# BeBiSeBr2, optimized geometry, DFT PBE
# space-group type: P4/mmm, No. 123
data_BeBiSeBr2
_chemical_formula_sum 'Be1 Bi1 Se1 Br2'
_space_group_name_H-M_alt 'P 1'
_space_group_IT_number 1
_space_group_name_Hall 'P 1'
_cell_length_a 5.7284
_cell_length_b 5.7284
_cell_length_c 5.5629
_cell_angle_alpha 90.00
_cell_angle_beta 90.00
_cell_angle_gamma 90.00
loop_
_atom_site_label
_atom_site_type_symbol
_atom_site_fract_x
_atom_site_fract_y
_atom_site_fract_z
_atom_site_occupancy
Be1 Be 0.5000 0.5000 0.5000 1
Se1 Se 0.0000 0.0000 0.5000 1
Bi1 Bi 0.0000 0.0000 0.0000 1
Br1 Br 0.0000 0.5000 0.0000 1
Br2 Br 0.5000 0.0000 0.0000 1

two:
# BeBiSeBr2, optimized geometry, DFT PBE
# space-group type: P4/mmm, No. 123
data_BeBiSeBr2
_chemical_formula_sum 'Be1 Bi1 Se1 Br2'
_space_group_name_H-M_alt 'P 1'
_space_group_IT_number 1
_space_group_name_Hall 'P 1'
_cell_length_a 4.7003
_cell_length_b 4.7003
_cell_length_c 5.1312
_cell_angle_alpha 90.00
_cell_angle_beta 90.00
_cell_angle_gamma 90.00
loop_
_atom_site_label
_atom_site_type_symbol
_atom_site_fract_x
_atom_site_fract_y
_atom_site_fract_z
_atom_site_occupancy
Be1 Be 0.0000 0.0000 0.0000 1
Se1 Se 0.0000 0.0000 0.5000 1
Bi1 Bi 0.5000 0.5000 0.5000 1
Br1 Br 0.0000 0.5000 0.0000 1
Br2 Br 0.5000 0.0000 0.0000 1

What is the most stable structure shown above? It is two.